1.
A geometry-optimized ZnAs2Cl structure, computed with PBE.

extended XYZ file:
```
4
Lattice="-1.539 -3.571 5.124 0.731 -5.225 3.679 2.706 0.903 3.218" Properties=species:S:1:pos:R:3 pbc="T T T"
As 2.536 0.458 3.460
As 1.119 -3.502 5.768
Zn 1.423 -5.920 9.016
Cl 0.474 -1.973 3.005
```

Its density is 5.23 Mg/m³. The value obtained for the total magnetization is 0.00 μB/f.u. The crystal system is monoclinic.

=====

2.
A geometry-optimized ZnAs2Cl structure, computed with PBE.

extended XYZ file:
```
4
Lattice="6.879 -0.610 -0.362 6.123 3.193 -0.362 6.123 1.216 2.974" Properties=species:S:1:pos:R:3 pbc="T T T"
As 9.123 1.812 1.074
As 0.440 0.087 0.052
Zn 14.344 2.849 1.688
Cl 4.781 0.950 0.563
```

Its density is 4.89 Mg/m³. The value obtained for the total magnetization is 0.00 μB/f.u. The crystal system is trigonal.

=====

3.
A geometry-optimized ZnAs2Cl structure, computed with PBE.

extended XYZ file:
```
4
Lattice="4.265 0.000 0.000 0.000 4.132 -0.007 0.000 2.002 4.892" Properties=species:S:1:pos:R:3 pbc="T T T"
As 0.000 5.731 4.500
As 0.000 3.469 2.828
Cl 2.133 1.533 1.221
Zn 2.133 4.600 3.664
```

Its density is 4.83 Mg/m³. The value obtained for the total magnetization is 0.00 μB/f.u. The crystal system is monoclinic.

=====

4.
A geometry-optimized ZnAs2Cl structure, computed with PBE.

extended XYZ file:
```
4
Lattice="6.973 0.000 0.000 0.000 3.663 0.000 0.000 0.000 3.663" Properties=species:S:1:pos:R:3 pbc="T T T"
Zn 3.487 0.000 1.832
As 0.000 0.000 0.000
As 0.000 1.832 1.832
Cl 3.487 1.832 0.000
```

Its density is 4.45 Mg/m³. The value obtained for the total magnetization is 0.00 μB/f.u. The crystal system is tetragonal.

=====

Most stable: 3 (next structure +17.6 kJ/mol of atoms)

=====

1.
A geometry-optimized ZnAs2Cl structure, computed with PBE.

extended XYZ file:
```
4
Lattice="-3.338 -1.046 0.023 1.046 -3.338 0.009 0.049 0.040 8.706" Properties=species:S:1:pos:R:3 pbc="T T T"
Cl 0.031 0.025 5.454
As -1.145 -2.191 0.169
As 0.006 0.005 1.029
Zn -1.110 -2.163 6.440
```

Its density is 3.91 Mg/m³. The value obtained for the total magnetization is 0.00 μB/f.u. The crystal system is tetragonal.

=====

2.
A geometry-optimized ZnAs2Cl structure, computed with PBE.

extended XYZ file:
```
4
Lattice="3.714 0.000 0.000 0.000 5.126 0.079 0.000 2.326 4.570" Properties=species:S:1:pos:R:3 pbc="T T T"
As 0.000 0.086 0.055
As 1.857 1.533 0.956
Cl 0.000 3.890 2.427
Zn 1.857 5.669 3.535
```

Its density is 4.82 Mg/m³. The value obtained for the total magnetization is 0.00 μB/f.u. The crystal system is orthorhombic.

=====

3.
A geometry-optimized ZnAs2Cl structure, computed with PBE.

extended XYZ file:
```
4
Lattice="-1.743 -3.036 -3.596 4.557 -0.128 -2.100 0.711 -2.410 1.690" Properties=species:S:1:pos:R:3 pbc="T T T"
Cl -0.516 -2.723 -0.953
As 1.407 -1.582 -2.848
As 0.000 0.000 0.000
Zn 2.634 -1.269 -0.205
```

Its density is 5.46 Mg/m³. The value obtained for the total magnetization is 0.00 μB/f.u. The crystal system is tetragonal.

=====

Most stable: 1 (next structure +8.2 kJ/mol of atoms)

=====

1.
A geometry-optimized ZnAs2Cl structure, computed with PBE.

extended XYZ file:
```
4
Lattice="8.853 0.106 0.063 8.063 3.658 0.063 8.063 1.794 3.188" Properties=species:S:1:pos:R:3 pbc="T T T"
As 7.092 1.578 0.941
As 0.146 0.032 0.019
Cl 11.608 2.583 1.540
Zn 18.624 4.144 2.471
```

Its density is 4.22 Mg/m³. The value obtained for the total magnetization is 0.00 μB/f.u. The crystal system is trigonal.

=====

2.
A geometry-optimized ZnAs2Cl structure, computed with PBE.

extended XYZ file:
```
4
Lattice="-2.183 1.447 -1.917 -1.115 -3.045 0.134 -4.162 1.792 6.092" Properties=species:S:1:pos:R:3 pbc="T T T"
As -3.991 1.719 5.842
As -2.252 0.970 3.296
Cl -2.690 -0.351 0.631
Zn -4.771 0.545 3.677
```

Its density is 5.32 Mg/m³. The value obtained for the total magnetization is 0.00 μB/f.u. The crystal system is orthorhombic.

=====

3.
A geometry-optimized ZnAs2Cl structure, computed with PBE.

extended XYZ file:
```
8
Lattice="-3.643 1.433 0.157 -0.373 -1.350 3.659 1.915 9.590 5.832" Properties=species:S:1:pos:R:3 pbc="T T T"
As -0.049 7.301 5.596
As -2.053 3.206 2.022
As -2.100 7.188 7.921
As -0.003 1.651 3.755
Cl -2.008 0.041 1.908
Cl -0.234 4.141 5.699
Zn -1.868 5.532 3.948
Zn 0.000 0.000 0.000
```

Its density is 4.91 Mg/m³. The value obtained for the total magnetization is 0.00 μB/f.u. The crystal system is tetragonal.

=====

Most stable: 1 (next structure +26.2 kJ/mol of atoms)